A geometry-optimized MoIrAu2 structure. Source: Alexandria via LeMat-Bulk, functional PBE-GGA.

a b c (Å): 2.8572 2.8572 8.1496
angles (deg): 90.00 90.00 90.00
Last column: nearest neighbours and their distance in Å.
Space group P4mm (No. 99)
Symmetry-distinct sites (fractional):
Mo1 0.0000 0.0000 0.0000 [1 per cell]  4 Ir 2.63, 4 Mo 2.86, 4 Au 2.92
Ir1 0.5000 0.5000 0.7939 [1 per cell]  4 Mo 2.63, 4 Ir 2.86
Au1 0.0000 0.0000 0.5297 [1 per cell]  8 Au 2.86-2.99, 4 Ir 2.95
Au2 0.5000 0.5000 0.2587 [1 per cell]  8 Au 2.86-2.99, 4 Mo 2.92

Output
Offset from the most stable computed form ... 0.000 eV per atom
DFT total energy ... -6.550 eV/atom
ΔE_f ... 12 meV/atom
Magnetic moment ... 0.000 μB/atom
D(E_F) ... 2.80 states/eV per cell